one | {
  "formula": "Gd3TlSn2Pb4",
  "functional": "GGA-PBE",
  "state": "relaxed",
  "magnetic_moment_mub_per_cell": 0.00,
  "lattice": [[2.324, -12.819, 0.000], [2.324, 12.819, 0.000], [0.000, 0.000, 4.715]],
  "species": ["Gd", "Gd", "Gd", "Tl", "Sn", "Sn", "Pb", "Pb", "Pb", "Pb"],
  "fractional_positions": [[0.000, 0.000, 0.000], [0.191, 0.809, 0.000], [0.809, 0.191, 0.000], [0.500, 0.500, 0.500], [0.291, 0.709, 0.500], [0.709, 0.291, 0.500], [0.098, 0.902, 0.500], [0.403, 0.597, 0.000], [0.597, 0.403, 0.000], [0.902, 0.098, 0.500]]
}

two | {
  "formula": "Gd3TlSn2Pb4",
  "functional": "GGA-PBE",
  "state": "relaxed",
  "magnetic_moment_mub_per_cell": 0.01,
  "lattice": [[2.360, -12.695, 0.000], [2.360, 12.695, 0.000], [0.000, 0.000, 4.680]],
  "species": ["Gd", "Gd", "Gd", "Tl", "Sn", "Sn", "Pb", "Pb", "Pb", "Pb"],
  "fractional_positions": [[0.000, 0.000, 0.000], [0.186, 0.814, 0.000], [0.814, 0.186, 0.000], [0.500, 0.500, 0.500], [0.096, 0.904, 0.500], [0.904, 0.096, 0.500], [0.294, 0.706, 0.500], [0.404, 0.596, 0.000], [0.596, 0.404, 0.000], [0.706, 0.294, 0.500]]
}

Need the numbers? Relative energies in eV/atom: one 0.000; two 0.007.

one | {
  "formula": "Gd3TlSn4Pb2",
  "functional": "GGA-PBE",
  "state": "relaxed",
  "magnetic_moment_mub_per_cell": 0.01,
  "lattice": [[2.276, -12.811, 0.000], [2.276, 12.811, 0.000], [0.000, 0.000, 4.712]],
  "species": ["Gd", "Gd", "Gd", "Tl", "Sn", "Sn", "Sn", "Sn", "Pb", "Pb"],
  "fractional_positions": [[0.000, 0.000, 0.000], [0.189, 0.811, 0.000], [0.811, 0.189, 0.000], [0.500, 0.500, 0.500], [0.291, 0.709, 0.500], [0.404, 0.596, 0.000], [0.596, 0.404, 0.000], [0.709, 0.291, 0.500], [0.098, 0.902, 0.500], [0.902, 0.098, 0.500]]
}

two | {
  "formula": "Gd3TlSn4Pb2",
  "functional": "GGA-PBE",
  "state": "relaxed",
  "magnetic_moment_mub_per_cell": 0.01,
  "lattice": [[2.326, -12.654, 0.000], [2.326, 12.654, 0.000], [0.000, 0.000, 4.657]],
  "species": ["Gd", "Gd", "Gd", "Tl", "Sn", "Sn", "Sn", "Sn", "Pb", "Pb"],
  "fractional_positions": [[0.000, 0.000, 0.000], [0.184, 0.816, 0.000], [0.816, 0.184, 0.000], [0.500, 0.500, 0.500], [0.096, 0.904, 0.500], [0.405, 0.595, 0.000], [0.595, 0.405, 0.000], [0.904, 0.096, 0.500], [0.294, 0.706, 0.500], [0.706, 0.294, 0.500]]
}

Need the numbers? Relative energies in eV/atom: one 0.000; two 0.006.

one | {
  "formula": "GdTlPb",
  "functional": "GGA-PBE",
  "state": "relaxed",
  "magnetic_moment_mub_per_cell": 0.01,
  "lattice": [[0.000, 3.651, 3.651], [3.651, 0.000, 3.651], [3.651, 3.651, 0.000]],
  "species": ["Gd", "Tl", "Pb"],
  "fractional_positions": [[0.000, 0.000, 0.000], [0.250, 0.250, 0.250], [0.500, 0.500, 0.500]]
}

two | {
  "formula": "GdTlPb",
  "functional": "GGA-PBE",
  "state": "relaxed",
  "magnetic_moment_mub_per_cell": 0.00,
  "lattice": [[0.000, 3.661, 3.661], [3.661, 0.000, 3.661], [3.661, 3.661, 0.000]],
  "species": ["Gd", "Tl", "Pb"],
  "fractional_positions": [[0.000, 0.000, 0.000], [0.250, 0.250, 0.250], [0.750, 0.750, 0.750]]
}

Need the numbers? Relative energies in eV/atom: one 0.089; two 0.000.

one | {
  "formula": "GdTlTe3Pd",
  "functional": "GGA-PBE",
  "state": "relaxed",
  "magnetic_moment_mub_per_cell": 0.01,
  "lattice": [[8.982, 0.000, 0.000], [0.000, 4.224, 0.000], [-4.095, 0.000, 10.139]],
  "species": ["Gd", "Gd", "Tl", "Tl", "Te", "Te", "Te", "Te", "Te", "Te", "Pd", "Pd"],
  "fractional_positions": [[0.195, 0.250, 0.150], [0.805, 0.750, 0.850], [0.239, 0.750, 0.703], [0.761, 0.250, 0.297], [0.060, 0.250, 0.850], [0.280, 0.250, 0.462], [0.449, 0.750, 0.156], [0.551, 0.250, 0.844], [0.720, 0.750, 0.538], [0.940, 0.750, 0.150], [0.407, 0.750, 0.387], [0.593, 0.250, 0.613]]
}

two | {
  "formula": "GdTlTe3Pd",
  "functional": "GGA-PBE",
  "state": "relaxed",
  "magnetic_moment_mub_per_cell": 0.01,
  "lattice": [[2.105, -8.266, 0.000], [2.105, 8.266, 0.000], [0.000, 0.000, 10.723]],
  "species": ["Gd", "Gd", "Tl", "Tl", "Te", "Te", "Te", "Te", "Te", "Te", "Pd", "Pd"],
  "fractional_positions": [[0.000, 0.000, 0.000], [0.000, 0.000, 0.500], [0.244, 0.756, 0.750], [0.756, 0.244, 0.250], [0.089, 0.911, 0.250], [0.370, 0.630, 0.073], [0.370, 0.630, 0.427], [0.630, 0.370, 0.573], [0.630, 0.370, 0.927], [0.911, 0.089, 0.750], [0.484, 0.516, 0.250], [0.516, 0.484, 0.750]]
}

Need the numbers? Relative energies in eV/atom: one 0.017; two 0.000.

one | {
  "formula": "PmGd",
  "functional": "GGA-PBE",
  "state": "relaxed",
  "magnetic_moment_mub_per_cell": 0.84,
  "lattice": [[0.000, 3.244, 3.244], [3.244, 0.000, 3.244], [3.244, 3.244, 0.000]],
  "species": ["Pm", "Gd"],
  "fractional_positions": [[0.000, 0.000, 0.000], [0.500, 0.500, 0.500]]
}

two | {
  "formula": "PmGd",
  "functional": "GGA-PBE",
  "state": "relaxed",
  "magnetic_moment_mub_per_cell": 0.05,
  "lattice": [[0.000, 3.360, 3.360], [3.360, 0.000, 3.360], [3.360, 3.360, 0.000]],
  "species": ["Pm", "Gd"],
  "fractional_positions": [[0.000, 0.000, 0.000], [0.250, 0.250, 0.250]]
}

three | {
  "formula": "PmGd",
  "functional": "GGA-PBE",
  "state": "relaxed",
  "magnetic_moment_mub_per_cell": 0.07,
  "lattice": [[3.632, 0.000, 0.000], [-1.816, 3.145, 0.000], [0.000, 0.000, 5.860]],
  "species": ["Pm", "Gd"],
  "fractional_positions": [[0.000, 0.000, 0.000], [0.333, 0.667, 0.500]]
}

Need the numbers? Relative energies in eV/atom: one 0.661; two 1.735; three 0.000.

one | {
  "formula": "PrGdPt2",
  "functional": "GGA-PBE",
  "state": "relaxed",
  "magnetic_moment_mub_per_cell": 0.00,
  "lattice": [[4.593, 0.000, 0.000], [0.000, 5.688, 0.000], [0.000, 0.000, 7.254]],
  "species": ["Pr", "Pr", "Gd", "Gd", "Pt", "Pt", "Pt", "Pt"],
  "fractional_positions": [[0.000, 0.111, 0.000], [0.000, 0.889, 0.500], [0.500, 0.391, 0.365], [0.500, 0.609, 0.865], [0.000, 0.408, 0.637], [0.000, 0.592, 0.137], [0.500, 0.100, 0.724], [0.500, 0.900, 0.224]]
}

two | {
  "formula": "PrGdPt2",
  "functional": "GGA-PBE",
  "state": "relaxed",
  "magnetic_moment_mub_per_cell": 0.00,
  "lattice": [[4.588, 0.000, 0.000], [0.000, 7.269, 0.000], [0.000, 0.000, 5.673]],
  "species": ["Pr", "Pr", "Gd", "Gd", "Pt", "Pt", "Pt", "Pt"],
  "fractional_positions": [[0.000, 0.069, 0.000], [0.500, 0.931, 0.500], [0.000, 0.566, 0.780], [0.500, 0.434, 0.280], [0.000, 0.219, 0.485], [0.000, 0.693, 0.294], [0.500, 0.307, 0.794], [0.500, 0.781, 0.985]]
}

Need the numbers? Relative energies in eV/atom: one 0.009; two 0.000.

one | {
  "formula": "Gd2SiPt",
  "functional": "GGA-PBE",
  "state": "relaxed",
  "magnetic_moment_mub_per_cell": 0.02,
  "lattice": [[4.237, 0.000, 0.000], [0.000, 5.744, 0.000], [0.000, 0.000, 7.522]],
  "species": ["Gd", "Gd", "Gd", "Gd", "Si", "Si", "Pt", "Pt"],
  "fractional_positions": [[0.000, 0.113, 0.000], [0.000, 0.887, 0.500], [0.500, 0.378, 0.644], [0.500, 0.622, 0.144], [0.000, 0.382, 0.363], [0.000, 0.618, 0.863], [0.500, 0.117, 0.282], [0.500, 0.883, 0.782]]
}

two | {
  "formula": "Gd2SiPt",
  "functional": "GGA-PBE",
  "state": "relaxed",
  "magnetic_moment_mub_per_cell": 0.01,
  "lattice": [[5.762, 0.000, 0.000], [0.000, 4.011, 0.000], [-0.295, 0.000, 7.954]],
  "species": ["Gd", "Gd", "Gd", "Gd", "Si", "Si", "Pt", "Pt"],
  "fractional_positions": [[0.124, 0.250, 0.328], [0.372, 0.250, 0.812], [0.628, 0.750, 0.188], [0.876, 0.750, 0.672], [0.123, 0.750, 0.037], [0.877, 0.250, 0.963], [0.345, 0.750, 0.547], [0.655, 0.250, 0.453]]
}

Need the numbers? Relative energies in eV/atom: one 0.000; two 0.044.

one | {
  "formula": "GdZrPt",
  "functional": "GGA-PBE",
  "state": "relaxed",
  "magnetic_moment_mub_per_cell": 0.01,
  "lattice": [[0.000, 3.354, 3.354], [3.354, 0.000, 3.354], [3.354, 3.354, 0.000]],
  "species": ["Gd", "Zr", "Pt"],
  "fractional_positions": [[0.000, 0.000, 0.000], [0.500, 0.500, 0.500], [0.250, 0.250, 0.250]]
}

two | {
  "formula": "GdZrPt",
  "functional": "GGA-PBE",
  "state": "relaxed",
  "magnetic_moment_mub_per_cell": 0.00,
  "lattice": [[0.000, 3.294, 3.294], [3.294, 0.000, 3.294], [3.294, 3.294, 0.000]],
  "species": ["Gd", "Zr", "Pt"],
  "fractional_positions": [[0.000, 0.000, 0.000], [0.250, 0.250, 0.250], [0.750, 0.750, 0.750]]
}

Need the numbers? Relative energies in eV/atom: one 0.000; two 0.823.